(1)
A plane-wave DFT calculation with PBE was carried out for a geometry-optimized BaGaPS6 structure.

Output
Symmetry: No. 1
Energy relative to the elements, uncorrected, eV/atom: -0.73

The structure in POSCAR format:
```
BaGaPS6
1.0
-4.2453 2.3771 3.4274
0.2100 -0.4067 5.8017
5.4647 6.3096 1.4740
Ba S Ga P
1 6 1 1
Direct
0.7755 0.1212 0.9681
0.7542 0.9623 0.3485
0.2554 0.1271 0.8597
0.4991 0.4789 0.5660
0.1398 0.2499 0.4061
0.3718 0.5966 0.1594
0.9520 0.5420 0.7982
0.8248 0.5805 0.5282
0.4271 0.3416 0.3657
```


(2)
A plane-wave DFT calculation with PBE was carried out for a geometry-optimized BaScGaP2 structure.

Output
Symmetry: No. 13
Formation energy from the elements, meV/atom: -761

The structure in POSCAR format:
```
BaScGaP2
1.0
-5.0800 -2.3793 -0.8061
2.5569 -3.2603 -6.4905
0.7079 -3.2942 5.2624
Ga Sc P Ba
2 2 4 2
Direct
0.0000 0.0000 0.5000
0.0000 0.0000 0.0000
0.4528 0.0000 0.2500
0.5472 0.0000 0.7500
0.2795 0.2462 0.0972
0.7205 0.2462 0.5972
0.7205 0.7538 0.9028
0.2795 0.7538 0.4028
0.2272 0.5000 0.7500
0.7728 0.5000 0.2500
```


Number 1: Fermi-level density of states 0.00 states/eV/cell. Number 2: Fermi-level density of states 6.48 states/eV/cell.